Record 1
# Dy2S2I

Crystalline Dy2S2I at its relaxed geometry (GGA-PBE, Alexandria via LeMat-Bulk).

The structure in POSCAR format:
```
Dy2S2I
1.0
-2.463 0.506 3.394
3.701 -2.486 3.056
2.235 6.733 -2.011
Dy I S
2 1 2
direct
0.309 0.809 0.617
0.691 0.191 0.383
0.000 0.000 0.000
0.317 0.317 0.634
0.683 0.683 0.366
```

Properties
Symmetry = No. 71
M_tot = 0.00 μB/cell
N(E_F) = 1.89 states/eV per cell
Energy relative to the elements, uncorrected = -1.755 eV/atom

---

Record 2
# Ag2TeCl

Crystalline Ag2TeCl at its relaxed geometry (GGA-PBE, Alexandria via LeMat-Bulk).

The structure in POSCAR format:
```
Ag2TeCl
1.0
-4.327 0.818 -2.463
3.279 -1.629 -3.472
-1.439 -3.968 -1.225
Te Ag Cl
1 2 1
direct
0.000 0.500 0.500
0.500 0.500 0.000
0.000 0.000 0.000
0.500 0.000 0.500
```

Properties
Symmetry = No. 12
M_tot = 0.00 μB/cell
N(E_F) = 1.20 states/eV per cell
Energy relative to the elements, uncorrected = -0.003 eV/atom

---

- Which of these has the highest N(E_F)?
  Dy2S2I

---

- What is the N(E_F) in the second record?
  1.20 states/eV per cell

---

- What is the formula in the second record?
  Ag2TeCl

---

- Number 1 is which compound?
  Dy2S2I